Computed, not measured: a geometry-optimized Li2ScZn9 structure at the GGA-PBE level of DFT.

abc: 8.842 8.842 8.842
angles: 33.98 33.98 33.98
Atoms (fractional coordinates):
Li  0.143  0.143  0.143
Li  0.857  0.857  0.857
Sc  0.000  0.000  0.000
Zn  0.080  0.588  0.588
Zn  0.334  0.334  0.334
Zn  0.412  0.412  0.920
Zn  0.412  0.920  0.412
Zn  0.500  0.500  0.500
Zn  0.588  0.080  0.588
Zn  0.588  0.588  0.080
Zn  0.666  0.666  0.666
Zn  0.920  0.412  0.412

Results
Its final energy is -0.1457 Ry per atom.



Computed, not measured: a geometry-optimized CaLuCu4 structure at the GGA-PBE level of DFT.

abc: 5.241 5.241 5.241
angles: 60.00 60.00 60.00
Atoms (fractional coordinates):
Ca  0.000  0.000  0.000
Lu  0.750  0.750  0.750
Cu  0.375  0.375  0.375
Cu  0.375  0.375  0.875
Cu  0.375  0.875  0.375
Cu  0.875  0.375  0.375

Results
Its final energy is -0.2894 Ry per atom.



Computed, not measured: a geometry-optimized TaSb2Ru structure at the GGA-PBE level of DFT.

abc: 10.833 10.833 10.833
angles: 16.72 16.72 16.72
Atoms (fractional coordinates):
Ta  0.000  0.000  0.000
Sb  0.261  0.261  0.261
Sb  0.461  0.461  0.461
Ru  0.730  0.730  0.730

Results
Its final energy is -0.5347 Ry per atom. The value obtained for the energy relative to the elements, uncorrected is 68.6 meV per atom.



Computed, not measured: a geometry-optimized Li3Er2TmSe6 structure at the GGA-PBE level of DFT.

abc: 6.982 6.982 6.892
angles: 99.72 99.72 120.00
Atoms (fractional coordinates):
Li  0.000  0.000  0.000
Li  0.333  0.667  0.000
Li  0.667  0.333  0.000
Er  0.167  0.833  0.500
Er  0.833  0.167  0.500
Tm  0.500  0.500  0.500
Se  0.084  0.416  0.249
Se  0.251  0.251  0.751
Se  0.416  0.084  0.249
Se  0.584  0.916  0.751
Se  0.749  0.749  0.249
Se  0.916  0.584  0.751

Results
Its final energy is -0.3712 Ry per atom. The value obtained for the energy relative to the elements, uncorrected is -1696.4 meV per atom.



Computed, not measured: a geometry-optimized UPaO2 structure at the GGA-PBE level of DFT.

abc: 4.370 4.370 3.080
angles: 90.00 90.00 90.00
Atoms (fractional coordinates):
U  0.000  0.000  0.000
Pa  0.500  0.500  0.000
O  0.000  0.500  0.500
O  0.500  0.000  0.500

Results
Its final energy is -0.6705 Ry per atom. The value obtained for the energy relative to the elements, uncorrected is -1447.4 meV per atom.



Computed, not measured: a geometry-optimized TiSeI structure at the GGA-PBE level of DFT.

abc: 7.804 7.511 6.558
angles: 90.00 110.48 90.00
Atoms (fractional coordinates):
Ti  0.001  0.128  0.216
Ti  0.001  0.372  0.716
Ti  0.999  0.628  0.284
Ti  0.999  0.872  0.784
Se  0.199  0.132  0.990
Se  0.199  0.368  0.490
Se  0.801  0.632  0.510
Se  0.801  0.868  0.010
I  0.245  0.614  0.025
I  0.245  0.886  0.525
I  0.755  0.114  0.475
I  0.755  0.386  0.975

Results
Its final energy is -0.3849 Ry per atom. The value obtained for the energy relative to the elements, uncorrected is -926.7 meV per atom.